# 1
Here is a geometry-optimized ErSiAg structure from OQMD. Energies are from PBE.

Unit cell a=7.035 b=4.164 c=8.031 alpha=90.00 beta=90.00 gamma=90.00
Element x y z (fractional)
Ag: 0.144 0.750 0.059
Ag: 0.644 0.750 0.441
Ag: 0.356 0.250 0.559
Ag: 0.856 0.250 0.941
Er: 0.473 0.250 0.183
Er: 0.973 0.250 0.317
Er: 0.027 0.750 0.683
Er: 0.527 0.750 0.817
Si: 0.753 0.750 0.124
Si: 0.253 0.750 0.376
Si: 0.747 0.250 0.624
Si: 0.247 0.250 0.876

Computed properties:
Its uncorrected energy is -4.8491 eV/atom. The space-group type is No. 62. For the mass density, the calculation gives 8.6 g cm⁻³.

# 2
Here is a geometry-optimized ErSiAg structure from OQMD. Energies are from PBE.

Unit cell a=6.978 b=6.978 c=4.154 alpha=90.00 beta=90.00 gamma=120.00
Element x y z (fractional)
Ag: 0.250 0.000 0.000
Ag: 0.000 0.250 0.000
Ag: 0.750 0.750 0.000
Er: 0.580 0.000 0.500
Er: 0.420 0.420 0.500
Er: 0.000 0.580 0.500
Si: 0.667 0.333 0.000
Si: 0.333 0.667 0.000
Si: 0.000 0.000 0.500

Computed properties:
Its uncorrected energy is -4.8671 eV/atom. The space-group type is No. 189. For the mass density, the calculation gives 8.6 g cm⁻³.

# 3
Here is a geometry-optimized ErTm2Si4Ag4 structure from OQMD. Energies are from PBE.

Unit cell a=8.123 b=8.123 c=8.123 alpha=149.88 beta=129.24 gamma=60.16
Element x y z (fractional)
Ag: 0.632 0.331 0.301
Ag: 0.969 0.669 0.301
Ag: 0.031 0.331 0.699
Ag: 0.368 0.669 0.699
Er: 0.000 0.000 0.000
Si: 0.216 0.216 0.000
Si: 0.784 0.784 0.000
Si: 0.676 0.500 0.176
Si: 0.324 0.500 0.824
Tm: 0.624 0.124 0.500
Tm: 0.376 0.876 0.500

Computed properties:
Its uncorrected energy is -4.7037 eV/atom. The space-group type is No. 71. For the mass density, the calculation gives 8.4 g cm⁻³.

# 4
Here is a geometry-optimized YEr2Si4Ag4 structure from OQMD. Energies are from PBE.

Unit cell a=8.154 b=8.154 c=8.154 alpha=149.90 beta=129.27 gamma=60.13
Element x y z (fractional)
Ag: 0.632 0.331 0.301
Ag: 0.970 0.669 0.301
Ag: 0.030 0.331 0.699
Ag: 0.368 0.669 0.699
Er: 0.625 0.125 0.500
Er: 0.375 0.875 0.500
Si: 0.217 0.217 0.000
Si: 0.783 0.783 0.000
Si: 0.675 0.500 0.175
Si: 0.325 0.500 0.825
Y: 0.000 0.000 0.000

Computed properties:
Its uncorrected energy is -4.9149 eV/atom. The space-group type is No. 71. For the mass density, the calculation gives 7.7 g cm⁻³.

# 5
Here is a geometry-optimized SmErAg structure from OQMD. Energies are from PBE.

Unit cell a=4.945 b=4.945 c=4.945 alpha=60.00 beta=60.00 gamma=60.00
Element x y z (fractional)
Ag: 0.250 0.250 0.250
Er: 0.750 0.750 0.750
Sm: 0.000 0.000 0.000

Computed properties:
Its uncorrected energy is -3.4629 eV/atom. The space-group type is No. 216. For the mass density, the calculation gives 8.3 g cm⁻³.

# 6
Here is a geometry-optimized SmEr4Ag5 structure from OQMD. Energies are from PBE.

Unit cell a=3.601 b=3.601 c=18.171 alpha=90.00 beta=90.00 gamma=90.00
Element x y z (fractional)
Ag: 0.500 0.500 0.108
Ag: 0.500 0.500 0.303
Ag: 0.500 0.500 0.500
Ag: 0.500 0.500 0.697
Ag: 0.500 0.500 0.892
Er: 0.000 0.000 0.204
Er: 0.000 0.000 0.401
Er: 0.000 0.000 0.599
Er: 0.000 0.000 0.796
Sm: 0.000 0.000 0.000

Computed properties:
Its uncorrected energy is -4.0440 eV/atom. The space-group type is No. 123. For the mass density, the calculation gives 9.6 g cm⁻³.

# 7
Here is a geometry-optimized SmErAg4 structure from OQMD. Energies are from PBE.

Unit cell a=3.728 b=3.728 c=9.288 alpha=90.00 beta=90.00 gamma=90.00
Element x y z (fractional)
Ag: 0.000 0.000 0.178
Ag: 0.500 0.500 0.336
Ag: 0.500 0.500 0.664
Ag: 0.000 0.000 0.822
Er: 0.000 0.000 0.500
Sm: 0.500 0.500 0.000

Computed properties:
Its uncorrected energy is -3.7393 eV/atom. The space-group type is No. 123. For the mass density, the calculation gives 9.6 g cm⁻³.

# 8
Here is a geometry-optimized SmErAg2Sn2 structure from OQMD. Energies are from PBE.

Unit cell a=4.740 b=4.740 c=7.400 alpha=90.00 beta=90.00 gamma=120.00
Element x y z (fractional)
Ag: 0.667 0.333 0.459
Ag: 0.333 0.667 0.945
Er: 0.000 0.000 0.760
Sm: 0.000 0.000 0.259
Sn: 0.667 0.333 0.035
Sn: 0.333 0.667 0.542

Computed properties:
Its uncorrected energy is -4.4210 eV/atom. The space-group type is No. 156. For the mass density, the calculation gives 8.9 g cm⁻³.

# 9
Here is a geometry-optimized Er2AgSn6 structure from OQMD. Energies are from PBE.

Unit cell a=11.660 b=11.660 c=4.520 alpha=90.00 beta=90.00 gamma=158.00
Element x y z (fractional)
Ag: 0.500 0.500 0.000
Er: 0.817 0.183 0.500
Er: 0.183 0.817 0.500
Sn: 0.919 0.081 0.000
Sn: 0.705 0.295 0.000
Sn: 0.295 0.705 0.000
Sn: 0.081 0.919 0.000
Sn: 0.579 0.421 0.500
Sn: 0.421 0.579 0.500

Computed properties:
Its uncorrected energy is -4.3492 eV/atom. The space-group type is No. 65. For the mass density, the calculation gives 8.3 g cm⁻³.

# 10
Here is a geometry-optimized ErAg3Sn6 structure from OQMD. Energies are from PBE.

Unit cell a=7.978 b=7.978 c=7.978 alpha=117.26 beta=117.26 gamma=94.82
Element x y z (fractional)
Ag: 0.500 0.500 0.000
Ag: 0.750 0.250 0.500
Ag: 0.250 0.750 0.500
Er: 0.000 0.000 0.000
Sn: 0.263 0.263 0.000
Sn: 0.737 0.737 0.000
Sn: 0.337 0.000 0.337
Sn: 0.000 0.337 0.337
Sn: 0.663 0.000 0.663
Sn: 0.000 0.663 0.663

Computed properties:
Its uncorrected energy is -3.1651 eV/atom. The space-group type is No. 139. For the mass density, the calculation gives 5.4 g cm⁻³.

# 11
Here is a geometry-optimized TbErAg2Sn2 structure from OQMD. Energies are from PBE.

Unit cell a=4.721 b=4.721 c=7.343 alpha=90.00 beta=90.00 gamma=120.00
Element x y z (fractional)
Ag: 0.667 0.333 0.448
Ag: 0.333 0.667 0.951
Er: 0.000 0.000 0.261
Sn: 0.667 0.333 0.041
Sn: 0.333 0.667 0.538
Tb: 0.000 0.000 0.760

Computed properties:
Its uncorrected energy is -4.3982 eV/atom. The space-group type is No. 156. For the mass density, the calculation gives 9.1 g cm⁻³.

# 12
Here is a geometry-optimized ErAgSnTe3 structure from OQMD. Energies are from PBE.

Unit cell a=4.299 b=7.651 c=11.128 alpha=90.00 beta=90.00 gamma=73.68
Element x y z (fractional)
Ag: 0.528 0.944 0.250
Ag: 0.472 0.056 0.750
Er: 0.000 0.000 0.000
Er: 0.000 0.000 0.500
Sn: 0.230 0.540 0.250
Sn: 0.770 0.460 0.750
Te: 0.647 0.706 0.053
Te: 0.903 0.193 0.250
Te: 0.647 0.706 0.447
Te: 0.353 0.294 0.553
Te: 0.097 0.807 0.750
Te: 0.353 0.294 0.947

Computed properties:
Its uncorrected energy is -4.1153 eV/atom. The space-group type is No. 63. For the mass density, the calculation gives 7.3 g cm⁻³. Its energy above the most stable polymorph in this dataset is 0 meV/atom.